No. 1
Computed, not measured: crystalline Nd2DyPuBi4 at its relaxed geometry at the PBE-GGA level of DFT.

The calculation puts the total energy at -6.26 eV per atom. The magnetic moment is 5.1 μB/f.u.

The structure belongs to space group P2/m (No. 10); the cell edges are 7.892, 4.564 and 7.896 Å and the angles 90.00°, 109.43° and 90.00°. The asymmetric unit holds Nd at (0.000, 0.000, 0.000), Nd at (0.000, 0.500, 0.500), Dy at (0.500, 0.000, 0.500), Pu at (0.500, 0.500, 0.000), Bi at (0.257, 0.000, 0.751) and Bi at (0.258, 0.500, 0.254).

---

No. 2
Computed, not measured: crystalline PrY5Ho4 at its relaxed geometry at the PBE-GGA level of DFT.

The calculation puts the total energy at -5.24 eV per atom. The magnetic moment is 0.0 μB/f.u.

The structure belongs to space group I4 (No. 79); the cell edges are 10.237, 10.237 and 6.325 Å and the angles 90.00°, 90.00° and 90.00°. The asymmetric unit holds Pr at (0.000, 0.000, 0.000), Y at (0.000, 0.000, 0.545), Y at (0.146, 0.235, 0.272) and Ho at (0.051, 0.352, 0.769).

---

No. 3
Computed, not measured: crystalline LaTa2Co2 at its relaxed geometry at the PBE-GGA level of DFT.

The calculation puts the total energy at -8.42 eV per atom. The magnetic moment is 0.7 μB/f.u. The calculation puts the offset from the most stable computed form at 0.244 eV/atom.

The structure belongs to space group P4/mbm (No. 127); the cell edges are 7.704, 7.704 and 2.876 Å and the angles 90.00°, 90.00° and 90.00°. The asymmetric unit holds La at (0.000, 0.000, 0.000), Ta at (0.149, 0.351, 0.000) and Co at (0.132, 0.632, 0.500).

---

no.,calculated formation energy (meV/atom)
1,-763
2,304
3,146